{"formula": "PmBeTc", "functional": "PBE-GGA", "state": "optimized geometry", "e_above_lowest_polymorph_mev_per_atom": 0, "spacegroup": "F-43m, No. 216", "cell": [[0.0000, 3.0491, 3.0491], [3.0491, 0.0000, 3.0491], [3.0491, 3.0491, 0.0000]], "species": ["Be", "Pm", "Tc"], "frac_coords": [[0.0000, 0.0000, 0.0000], [0.2500, 0.2500, 0.2500], [0.7500, 0.7500, 0.7500]]}